[1]
A relaxed structure of Mg3Pb2, computed with PBE.

Unit cell a=8.2725 b=8.2725 c=13.8636 alpha=90.00 beta=90.00 gamma=120.00
Space group R-3c (No. 167, hexagonal axes)
Unique sites:
1 Mg 0.0000 0.2965 0.2500 x18
2 Pb 0.0000 0.0000 0.1182 x12

Output
calculated density	5.9	g cm⁻³
offset from the most stable computed form	4.8	kJ/mol of formula units
calculated volume	27.4	Å³/atom

[2]
A relaxed structure of Mg2Pb, computed with PBE.

Unit cell a=3.478 b=4.436 c=9.783 alpha=90.00 beta=90.00 gamma=90.00
Space group Immm (No. 71)
Unique sites:
1 Mg 0.000 0.000 0.167 x4
2 Pb 0.000 0.000 0.500 x2

Output
calculated density	5.6	g cm⁻³
final energy	-14.01	eV per cell
calculated volume	25.1	Å³/atom